i.
VASP calculation (PBE) on a geometry-optimized TmPaC structure.

It has space group Cmcm (No. 63), with a = 3.295 Å, b = 9.955 Å, c = 7.250 Å, α = 90.00°, β = 90.00° and γ = 90.00°. The asymmetric unit holds Tm at (0.000, 0.239, 0.250), Pa at (0.000, 0.500, 0.000) and C at (0.000, 0.038, 0.750).

Its size of the total moment is 0.000 μB/atom. Its crystal system is orthorhombic. Its density is 11.51 g/cm3.

ii.
VASP calculation (PBE) on a geometry-optimized TmPaC structure.

It has space group I4mm (No. 107), with a = 3.130 Å, b = 3.130 Å, c = 11.522 Å, α = 90.00°, β = 90.00° and γ = 90.00°. The asymmetric unit holds Tm at (0.000, 0.000, 0.000), Pa at (0.000, 0.000, 0.754) and C at (0.000, 0.000, 0.358).

Its size of the total moment is 0.000 μB/atom. Its crystal system is tetragonal. Its density is 12.12 g/cm3.

iii.
VASP calculation (PBE) on a geometry-optimized TmPaC structure.

It has space group P3m1 (No. 156), with a = 3.4517 Å, b = 3.4517 Å, c = 6.0958 Å, α = 90.00°, β = 90.00° and γ = 120.00°. The asymmetric unit holds Tm at (0.0000, 0.0000, 0.0000), Pa at (0.6667, 0.3333, 0.5437) and C at (0.3333, 0.6667, 0.7632).

Its size of the total moment is 0.000 μB/atom. Its crystal system is trigonal. Its density is 10.88 g/cm3.

Stability, descending: iii, i, ii

i.
VASP calculation (PBE) on a geometry-optimized UPaC2 structure.

It has space group R-3m (No. 166, hexagonal axes), with a = 3.5532 Å, b = 3.5532 Å, c = 17.1802 Å, α = 90.00°, β = 90.00° and γ = 120.00°. The asymmetric unit holds U at (0.0000, 0.0000, 0.0000), Pa at (0.0000, 0.0000, 0.5000) and C at (0.0000, 0.0000, 0.2566).

Its size of the total moment is 0.000 μB/atom. Its crystal system is trigonal. Its density is 13.08 g/cm3.

ii.
VASP calculation (PBE) on a geometry-optimized UPaC2 structure.

It has space group Pmmn (No. 59, origin choice 2), with a = 3.398 Å, b = 6.133 Å, c = 5.871 Å, α = 90.00°, β = 90.00° and γ = 90.00°. The asymmetric unit holds U at (0.250, 0.250, 0.083), Pa at (0.250, 0.750, 0.416) and C at (0.250, 0.000, 0.763).

Its size of the total moment is 0.000 μB/atom. Its crystal system is orthorhombic. Its density is 13.39 g/cm3.

Stability, descending: i, ii

i.
VASP calculation (PBE) on a geometry-optimized UPa2C3 structure.

It has space group I4/mmm (No. 139), with a = 3.570 Å, b = 3.570 Å, c = 15.004 Å, α = 90.00°, β = 90.00° and γ = 90.00°. The asymmetric unit holds U at (0.000, 0.000, 0.000), Pa at (0.000, 0.000, 0.334), C at (0.000, 0.000, 0.160) and C at (0.000, 0.000, 0.500).

Its size of the total moment is 0.000 μB/atom. Its crystal system is tetragonal. Its density is 12.79 g/cm3.

ii.
VASP calculation (PBE) on a geometry-optimized UPa2C3 structure.

It has space group C2/c (No. 15), with a = 10.342 Å, b = 6.619 Å, c = 5.886 Å, α = 90.00°, β = 106.53° and γ = 90.00°. The asymmetric unit holds U at (0.000, 0.117, 0.250), Pa at (0.158, 0.330, 0.677), C at (0.000, 0.453, 0.250) and C at (0.178, 0.041, 0.002).

Its size of the total moment is 0.021 μB/atom. Its crystal system is monoclinic. Its density is 12.66 g/cm3.

Stability, descending: i, ii

i.
VASP calculation (PBE) on a geometry-optimized U2PaC structure.

It has space group R-3m (No. 166, hexagonal axes), with a = 3.2609 Å, b = 3.2609 Å, c = 27.7199 Å, α = 90.00°, β = 90.00° and γ = 120.00°. The asymmetric unit holds U at (0.0000, 0.0000, 0.0729), Pa at (0.0000, 0.0000, 0.5000) and C at (0.0000, 0.0000, 0.0000).

Its size of the total moment is 0.000 μB/atom. Its crystal system is trigonal. Its density is 14.03 g/cm3.

ii.
VASP calculation (PBE) on a geometry-optimized U2PaC structure.

It has space group P4/mmm (No. 123), with a = 2.926 Å, b = 2.926 Å, c = 8.338 Å, α = 90.00°, β = 90.00° and γ = 90.00°. The asymmetric unit holds U at (0.000, 0.000, 0.172), Pa at (0.500, 0.500, 0.500) and C at (0.500, 0.500, 0.000).

Its size of the total moment is 0.000 μB/atom. Its crystal system is tetragonal. Its density is 16.72 g/cm3.

Stability, descending: ii, i

i.
VASP calculation (PBE) on a geometry-optimized PaV2C structure.

It has space group P4/mmm (No. 123), with a = 2.802 Å, b = 2.802 Å, c = 6.974 Å, α = 90.00°, β = 90.00° and γ = 90.00°. The asymmetric unit holds Pa at (0.000, 0.000, 0.000), V at (0.500, 0.500, 0.341) and C at (0.000, 0.000, 0.500).

Its size of the total moment is 0.000 μB/atom. Its crystal system is tetragonal. Its density is 10.46 g/cm3.

ii.
VASP calculation (PBE) on a geometry-optimized PaV2C structure.

It has space group R-3m (No. 166, hexagonal axes), with a = 3.0013 Å, b = 3.0013 Å, c = 22.5952 Å, α = 90.00°, β = 90.00° and γ = 120.00°. The asymmetric unit holds Pa at (0.0000, 0.0000, 0.0000), V at (0.0000, 0.0000, 0.1194) and C at (0.0000, 0.0000, 0.5000).

Its size of the total moment is 0.001 μB/atom. Its crystal system is trigonal. Its density is 9.75 g/cm3.

Stability, descending: ii, i

i.
VASP calculation (PBE) on a geometry-optimized PaWC2 structure.

It has space group R3m (No. 160, hexagonal axes), with a = 3.2178 Å, b = 3.2178 Å, c = 17.4508 Å, α = 90.00°, β = 90.00° and γ = 120.00°. The asymmetric unit holds Pa at (0.0000, 0.0000, 0.0000), W at (0.0000, 0.0000, 0.8258), C at (0.0000, 0.0000, 0.2325) and C at (0.0000, 0.0000, 0.4243).

Its size of the total moment is 0.000 μB/atom. Its crystal system is trigonal. Its density is 13.97 g/cm3.

ii.
VASP calculation (PBE) on a geometry-optimized PaWC2 structure.

It has space group Cmcm (No. 63), with a = 3.717 Å, b = 13.625 Å, c = 4.538 Å, α = 90.00°, β = 90.00° and γ = 90.00°. The asymmetric unit holds Pa at (0.000, 0.183, 0.250), W at (0.000, 0.425, 0.250), C at (0.000, 0.149, 0.750) and C at (0.000, 0.426, 0.750).

Its size of the total moment is 0.000 μB/atom. Its crystal system is orthorhombic. Its density is 12.69 g/cm3.

iii.
VASP calculation (PBE) on a geometry-optimized PaWC2 structure.

It has space group R-3m (No. 166, hexagonal axes), with a = 3.2931 Å, b = 3.2931 Å, c = 16.4847 Å, α = 90.00°, β = 90.00° and γ = 120.00°. The asymmetric unit holds Pa at (0.0000, 0.0000, 0.0000), W at (0.0000, 0.0000, 0.5000) and C at (0.0000, 0.0000, 0.2384).

Its size of the total moment is 0.000 μB/atom. Its crystal system is trigonal. Its density is 14.12 g/cm3.

Stability, descending: iii, ii, i